Entry from the Alexandria database: crystalline Nd2NiF at its relaxed geometry (GGA+U).

Properties
ρ: 7.23 g cm⁻³
Calculated total energy: -3.92 eV per atom

Unit cell a=3.3003 b=3.3003 c=26.7301 alpha=90.00 beta=90.00 gamma=120.00
Space group R-3m (No. 166, hexagonal axes)
Symmetry-distinct sites (fractional):
Nd  0.0000  0.0000  0.0929 (multiplicity 6)
Ni  0.0000  0.0000  0.0000 (multiplicity 3)
F  0.0000  0.0000  0.5000 (multiplicity 3)

Entry from the Alexandria database: crystalline NdNiF5 at its relaxed geometry (GGA+U).

Properties
ρ: 4.49 g cm⁻³
Calculated total energy: -5.62 eV per atom

Unit cell a=9.2604 b=6.7004 c=7.8291 alpha=90.00 beta=114.93 gamma=90.00
Space group C2/c (No. 15)
Symmetry-distinct sites (fractional):
Nd  0.0000  0.0572  0.2500 (multiplicity 4)
Ni  0.0000  0.5000  0.0000 (multiplicity 4)
F  0.0000  0.4093  0.2500 (multiplicity 4)
F  0.0091  0.1945  0.9676 (multiplicity 8)
F  0.2343  0.4797  0.6198 (multiplicity 8)

Entry from the Alexandria database: crystalline Nd2NiF8 at its relaxed geometry (GGA+U).

Properties
ρ: 5.55 g cm⁻³
Calculated total energy: -5.90 eV per atom

Unit cell a=13.2971 b=3.6014 c=6.3242 alpha=90.00 beta=99.73 gamma=90.00
Space group C2/m (No. 12)
Symmetry-distinct sites (fractional):
Nd  0.1776  0.0000  0.2076 (multiplicity 4)
Ni  0.0000  0.5000  0.5000 (multiplicity 2)
F  0.0152  0.0000  0.3190 (multiplicity 4)
F  0.0970  0.5000  0.0425 (multiplicity 4)
F  0.1607  0.5000  0.4897 (multiplicity 4)
F  0.2088  0.0000  0.8399 (multiplicity 4)

Entry from the Alexandria database: crystalline NdNi2F6 at its relaxed geometry (GGA+U).

Properties
ρ: 4.88 g cm⁻³
Calculated total energy: -4.96 eV per atom

Unit cell a=5.3662 b=5.3662 c=5.1298 alpha=90.00 beta=90.00 gamma=120.00
Space group P-31m (No. 162)
Symmetry-distinct sites (fractional):
Nd  0.0000  0.0000  0.0000 (multiplicity 1)
Ni  0.3333  0.6667  0.5000 (multiplicity 2)
F  0.0000  0.3466  0.7288 (multiplicity 6)

Entry from the Alexandria database: crystalline RbNdNiF6 at its relaxed geometry (GGA+U).

Properties
ρ: 4.48 g cm⁻³
Calculated total energy: -5.30 eV per atom

Unit cell a=7.3767 b=7.8775 c=10.2665 alpha=90.00 beta=90.00 gamma=90.00
Space group Imma (No. 74)
Symmetry-distinct sites (fractional):
Rb  0.0000  0.2500  0.0848 (multiplicity 4)
Nd  0.0000  0.0000  0.5000 (multiplicity 4)
Ni  0.2500  0.2500  0.7500 (multiplicity 4)
F  0.0000  0.2500  0.3804 (multiplicity 4)
F  0.0000  0.2500  0.6637 (multiplicity 4)
F  0.2283  0.0640  0.8837 (multiplicity 16)

Entry from the Alexandria database: crystalline NdTl2Ni3F12 at its relaxed geometry (GGA+U).

Properties
ρ: 6.28 g cm⁻³
Calculated total energy: -4.64 eV per atom

Unit cell a=7.4916 b=7.4916 c=15.6094 alpha=90.00 beta=90.00 gamma=120.00
Space group R-3m (No. 166, hexagonal axes)
Symmetry-distinct sites (fractional):
Nd  0.0000  0.0000  0.0000 (multiplicity 3)
Tl  0.0000  0.0000  0.3933 (multiplicity 6)
Ni  0.0000  0.5000  0.5000 (multiplicity 9)
F  0.0496  0.5248  0.3735 (multiplicity 18)
F  0.0921  0.5461  0.7985 (multiplicity 18)